# PBE SrHfFe2, relaxed
data_SrHfFe2
_symmetry_space_group_name_H-M 'I 41/a m d'
_symmetry_Int_Tables_number 141
_cell_length_a 4.730
_cell_length_b 4.730
_cell_length_c 16.877
_cell_angle_alpha 90.00
_cell_angle_beta 90.00
_cell_angle_gamma 90.00
loop_
_symmetry_equiv_pos_as_xyz
'x,y,z'
'-x,-y,-z'
'-y+1/4,x+3/4,z+1/4'
'y+1/4,-x+3/4,-z+1/4'
'-x+1/2,-y,z+1/2'
'x+1/2,y,-z+1/2'
'y+1/4,-x+1/4,z+3/4'
'-y+1/4,x+1/4,-z+3/4'
'x,-y,-z'
'-x,y,z'
'-y+1/4,-x+1/4,-z+3/4'
'y+1/4,x+1/4,z+3/4'
'-x+1/2,y,-z+1/2'
'x+1/2,-y,z+1/2'
'y+1/4,x+3/4,-z+1/4'
'-y+1/4,-x+3/4,z+1/4'
'x+1/2,y+1/2,z+1/2'
'-x+1/2,-y+1/2,-z+1/2'
'-y+3/4,x+1/4,z+3/4'
'y+3/4,-x+1/4,-z+3/4'
'-x,-y+1/2,z'
'x,y+1/2,-z'
'y+3/4,-x+3/4,z+1/4'
'-y+3/4,x+3/4,-z+1/4'
'x+1/2,-y+1/2,-z+1/2'
'-x+1/2,y+1/2,z+1/2'
'-y+3/4,-x+3/4,-z+1/4'
'y+3/4,x+3/4,z+1/4'
'-x,y+1/2,-z'
'x,-y+1/2,z'
'y+3/4,x+1/4,-z+3/4'
'-y+3/4,-x+1/4,z+3/4'
loop_
_atom_site_label
_atom_site_fract_x
_atom_site_fract_y
_atom_site_fract_z
Sr1 0.000 0.250 0.375
Hf1 0.000 0.250 0.875
Fe1 0.000 0.000 0.000
# Energy above the most stable polymorph in this dataset, meV per atom: 150
# ΔH_f (0 K), eV/atom: 0.876



# PBE ScTlCu2, relaxed
data_ScTlCu2
_symmetry_space_group_name_H-M 'P 1 m 1'
_symmetry_Int_Tables_number 6
_symmetry_space_group_name_Hall 'P -2y'
_cell_length_a 3.571
_cell_length_b 4.109
_cell_length_c 5.290
_cell_angle_alpha 90.00
_cell_angle_beta 109.60
_cell_angle_gamma 90.00
loop_
_atom_site_label
_atom_site_fract_x
_atom_site_fract_y
_atom_site_fract_z
Sc1 0.000 0.000 0.000
Tl1 0.698 0.500 0.394
Cu1 0.288 0.000 0.574
Cu2 0.424 0.500 0.845
# ΔH_f (0 K), eV/atom: -0.050



# PBE AlCr2As, relaxed
data_AlCr2As
_symmetry_space_group_name_H-M 'F -4 3 m'
_symmetry_Int_Tables_number 216
_symmetry_space_group_name_Hall 'F -4 2 3'
_cell_length_a 6.200
_cell_length_b 6.200
_cell_length_c 6.200
_cell_angle_alpha 90.00
_cell_angle_beta 90.00
_cell_angle_gamma 90.00
loop_
_atom_site_label
_atom_site_fract_x
_atom_site_fract_y
_atom_site_fract_z
Al1 0.000 0.000 0.000
Cr1 0.000 0.000 0.500
Cr2 0.250 0.250 0.250
As1 0.250 0.250 0.750
# Energy above the most stable polymorph in this dataset, meV per atom: 241
# ΔH_f (0 K), eV/atom: 0.186



# PBE PmPaO4, relaxed
data_PmPaO4
_symmetry_space_group_name_H-M 'P 4/m m m'
_symmetry_Int_Tables_number 123
_symmetry_space_group_name_Hall '-P 4 2'
_cell_length_a 3.849
_cell_length_b 3.849
_cell_length_c 5.522
_cell_angle_alpha 90.00
_cell_angle_beta 90.00
_cell_angle_gamma 90.00
loop_
_atom_site_label
_atom_site_fract_x
_atom_site_fract_y
_atom_site_fract_z
Pm1 0.000 0.000 0.000
Pa1 0.500 0.500 0.500
O1 0.000 0.500 0.267
# Uncorrected formation energy, eV per atom: -3.668
# Energy above the most stable polymorph in this dataset, meV per atom: 20



Please write out number 4 again, unchanged.
# PBE PmPaO4, relaxed
data_PmPaO4
_symmetry_space_group_name_H-M 'P 4/m m m'
_symmetry_Int_Tables_number 123
_symmetry_space_group_name_Hall '-P 4 2'
_cell_length_a 3.849
_cell_length_b 3.849
_cell_length_c 5.522
_cell_angle_alpha 90.00
_cell_angle_beta 90.00
_cell_angle_gamma 90.00
loop_
_atom_site_label
_atom_site_fract_x
_atom_site_fract_y
_atom_site_fract_z
Pm1 0.000 0.000 0.000
Pa1 0.500 0.500 0.500
O1 0.000 0.500 0.267
# Uncorrected formation energy, eV per atom: -3.668
# Energy above the most stable polymorph in this dataset, meV per atom: 20